(1)
A relaxed NdSn2Pd6 crystal, computed with PBE.

```
data_NdSn2Pd6
_chemical_formula_sum 'Nd1 Sn2 Pd6'
_symmetry_space_group_name_H-M 'P 6/m m m'
_symmetry_Int_Tables_number 191
_symmetry_space_group_name_Hall '-P 6 2'
_cell_length_a 5.6099
_cell_length_b 5.6099
_cell_length_c 7.0428
_cell_angle_alpha 90.00
_cell_angle_beta 90.00
_cell_angle_gamma 120.00
loop_
_atom_site_label
_atom_site_type_symbol
_atom_site_fract_x
_atom_site_fract_y
_atom_site_fract_z
Nd1 Nd 0.0000 0.0000 0.0000
Sn1 Sn 0.3333 0.6667 0.5000
Pd1 Pd 0.0000 0.5000 0.1936
```

Properties
Total magnetic moment   0.000 μB/cell
Energy relative to the elements   -0.5092 eV per atom
VASP energy   -0.198 Ha/atom

(2)
A relaxed Rb2TeIO6 crystal, computed with PBE.

```
data_Rb2TeIO6
_chemical_formula_sum 'Rb4 Te2 I2 O12'
_symmetry_space_group_name_H-M 'I 4/m m m'
_symmetry_Int_Tables_number 139
_symmetry_space_group_name_Hall '-I 4 2'
_cell_length_a 5.766
_cell_length_b 5.766
_cell_length_c 10.391
_cell_angle_alpha 90.00
_cell_angle_beta 90.00
_cell_angle_gamma 90.00
loop_
_atom_site_label
_atom_site_type_symbol
_atom_site_fract_x
_atom_site_fract_y
_atom_site_fract_z
Rb1 Rb 0.000 0.500 0.250
Te1 Te 0.000 0.000 0.000
I1 I 0.000 0.000 0.500
O1 O 0.000 0.000 0.180
O2 O 0.249 0.249 0.000
```

Properties
Total magnetic moment   1.897 μB/cell
VASP energy   -0.168 Ha/atom
Uncorrected formation energy   -0.93 eV per atom

(3)
A relaxed Rb2Tl5Au crystal, computed with PBE.

```
data_Rb2Tl5Au
_chemical_formula_sum 'Rb4 Tl10 Au2'
_symmetry_space_group_name_H-M 'I 4 m m'
_symmetry_Int_Tables_number 107
_symmetry_space_group_name_Hall 'I 4 -2'
_cell_length_a 6.710
_cell_length_b 6.710
_cell_length_c 14.071
_cell_angle_alpha 90.00
_cell_angle_beta 90.00
_cell_angle_gamma 90.00
loop_
_atom_site_label
_atom_site_type_symbol
_atom_site_fract_x
_atom_site_fract_y
_atom_site_fract_z
Rb1 Rb 0.000 0.500 0.000
Tl1 Tl 0.000 0.000 0.105
Tl2 Tl 0.248 0.248 0.764
Au1 Au 0.000 0.000 0.902
```

Properties
Total magnetic moment   0.000 μB/cell
Energy relative to the elements   -0.0415 eV per atom
Energy above the most stable polymorph in this dataset   61 meV/atom
VASP energy   -0.080 Ha/atom

(4)
A relaxed MnHgRu crystal, computed with PBE.

```
data_MnHgRu
_chemical_formula_sum 'Mn2 Hg2 Ru2'
_symmetry_space_group_name_H-M 'I 4 m m'
_symmetry_Int_Tables_number 107
_symmetry_space_group_name_Hall 'I 4 -2'
_cell_length_a 3.050
_cell_length_b 3.050
_cell_length_c 10.416
_cell_angle_alpha 90.00
_cell_angle_beta 90.00
_cell_angle_gamma 90.00
loop_
_atom_site_label
_atom_site_type_symbol
_atom_site_fract_x
_atom_site_fract_y
_atom_site_fract_z
Mn1 Mn 0.000 0.000 0.000
Hg1 Hg 0.000 0.000 0.316
Ru1 Ru 0.000 0.000 0.624
```

Properties
Total magnetic moment   6.363 μB/cell
Energy relative to the elements   0.2843 eV per atom
Energy above the most stable polymorph in this dataset   0 meV/atom
VASP energy   -0.219 Ha/atom